[1]
Density functional theory data (PBE-GGA) for a relaxed structure of NdGd2Se.

Lattice parameters (Å, degrees): 3.7716 3.7716 31.3988 90.00 90.00 120.00
Space group R-3m (No. 166, hexagonal axes)
Symmetry-distinct sites (fractional):
Nd 0.0000 0.0000 0.0000 [3 per cell]
Gd 0.0000 0.0000 0.1088 [6 per cell]
Se 0.0000 0.0000 0.5000 [3 per cell]

Values from the calculation:
E_form (uncorrected), eV/atom: -0.62

[2]
Density functional theory data (PBE-GGA) for a relaxed structure of NaSn7.

Lattice parameters (Å, degrees): 10.024 10.024 10.024 90.00 90.00 90.00
Space group Fm-3m (No. 225)
Symmetry-distinct sites (fractional):
Na 0.000 0.000 0.000 [4 per cell]
Sn 0.000 0.000 0.500 [4 per cell]
Sn 0.000 0.250 0.250 [24 per cell]

Values from the calculation:
DFT formation energy, eV/atom: 0.039

[3]
Density functional theory data (PBE-GGA) for a relaxed structure of Ac4Cu2Cl.

Lattice parameters (Å, degrees): 5.818 5.818 14.508 90.00 90.00 90.00
Space group I4/mmm (No. 139)
Symmetry-distinct sites (fractional):
Ac 0.000 0.000 0.213 [4 per cell]
Ac 0.000 0.500 0.000 [4 per cell]
Cu 0.000 0.000 0.414 [4 per cell]
Cl 0.000 0.000 0.000 [2 per cell]

Values from the calculation:
E_form (uncorrected), eV/atom: -0.30

[4]
Density functional theory data (PBE-GGA) for a relaxed structure of La2Sn2Hg3.

Lattice parameters (Å, degrees): 4.341 22.098 4.373 90.00 90.00 90.00
Space group Cmmm (No. 65)
Symmetry-distinct sites (fractional):
La 0.000 0.158 0.000 [4 per cell]
Sn 0.000 0.293 0.500 [4 per cell]
Hg 0.000 0.000 0.000 [2 per cell]
Hg 0.000 0.434 0.500 [4 per cell]

Values from the calculation:
DFT formation energy, eV/atom: -0.429

[5]
Density functional theory data (PBE-GGA) for a relaxed structure of MnBSb2Ru.

Lattice parameters (Å, degrees): 4.993 4.993 4.920 90.00 90.00 90.00
Space group P4/mmm (No. 123)
Symmetry-distinct sites (fractional):
Mn 0.000 0.000 0.000 [1 per cell]
B 0.500 0.500 0.000 [1 per cell]
Sb 0.000 0.500 0.500 [2 per cell]
Ru 0.000 0.000 0.500 [1 per cell]

Values from the calculation:
E_form (uncorrected), eV/atom: 1.31

[6]
Density functional theory data (PBE-GGA) for a relaxed structure of LiNb8O10.

Lattice parameters (Å, degrees): 6.133 6.133 25.874 90.00 90.00 90.00
Space group I4_1/amd (No. 141, origin choice 2)
Symmetry-distinct sites (fractional):
Li 0.000 0.250 0.375 [4 per cell]
Nb 0.000 0.004 0.076 [16 per cell]
Nb 0.000 0.006 0.751 [16 per cell]
O 0.000 0.000 0.500 [8 per cell]
O 0.000 0.017 0.668 [16 per cell]
O 0.000 0.021 0.837 [16 per cell]

Values from the calculation:
E_form (uncorrected), eV/atom: -2.04

[7]
Density functional theory data (PBE-GGA) for a relaxed structure of MnCdBr.

Lattice parameters (Å, degrees): 3.347 3.347 12.590 90.00 90.00 90.00
Space group I4mm (No. 107)
Symmetry-distinct sites (fractional):
Mn 0.000 0.000 0.000 [2 per cell]
Cd 0.000 0.000 0.362 [2 per cell]
Br 0.000 0.000 0.621 [2 per cell]

Values from the calculation:
Energy above the most stable polymorph in this dataset, eV per atom: 0.077
E_form (uncorrected), eV/atom: 0.07

[8]
Density functional theory data (PBE-GGA) for a relaxed structure of CoReSe2.

Lattice parameters (Å, degrees): 3.061 4.318 9.603 90.00 90.00 90.00
Space group Imm2 (No. 44)
Symmetry-distinct sites (fractional):
Co 0.000 0.000 0.000 [2 per cell]
Re 0.000 0.500 0.805 [2 per cell]
Se 0.000 0.000 0.514 [2 per cell]
Se 0.000 0.500 0.296 [2 per cell]

Values from the calculation:
Energy above the most stable polymorph in this dataset, eV per atom: 0.637
E_form (uncorrected), eV/atom: 0.55

[9]
Density functional theory data (PBE-GGA) for a relaxed structure of MnOs2Cl.

Lattice parameters (Å, degrees): 2.867 2.867 7.485 90.00 90.00 90.00
Space group P4mm (No. 99)
Symmetry-distinct sites (fractional):
Mn 0.000 0.000 0.000 [1 per cell]
Os 0.000 0.000 0.476 [1 per cell]
Os 0.500 0.500 0.261 [1 per cell]
Cl 0.500 0.500 0.767 [1 per cell]

Values from the calculation:
Energy above the most stable polymorph in this dataset, eV per atom: 0.121
E_form (uncorrected), eV/atom: 0.44

[10]
Density functional theory data (PBE-GGA) for a relaxed structure of Tb5CSe4.

Lattice parameters (Å, degrees): 4.000 4.000 28.873 90.00 90.00 90.00
Space group I4/mmm (No. 139)
Symmetry-distinct sites (fractional):
Tb 0.000 0.000 0.000 [2 per cell]
Tb 0.000 0.000 0.206 [4 per cell]
Tb 0.000 0.000 0.418 [4 per cell]
C 0.000 0.000 0.500 [2 per cell]
Se 0.000 0.000 0.101 [4 per cell]
Se 0.000 0.000 0.307 [4 per cell]

Values from the calculation:
Energy above the most stable polymorph in this dataset, eV per atom: 0.050
E_form (uncorrected), eV/atom: -1.49

[11]
Density functional theory data (PBE-GGA) for a relaxed structure of TbPm4Pr4.

Lattice parameters (Å, degrees): 5.195 6.356 11.004 95.49 103.61 114.10
Space group P-1 (No. 2)
Symmetry-distinct sites (fractional):
Tb 0.000 0.000 0.000 [1 per cell]
Pm 0.112 0.778 0.445 [2 per cell]
Pm 0.444 0.110 0.778 [2 per cell]
Pr 0.223 0.556 0.890 [2 per cell]
Pr 0.332 0.333 0.332 [2 per cell]

Values from the calculation:
DFT formation energy, eV/atom: 0.014

[12]
Density functional theory data (PBE-GGA) for a relaxed structure of SbAu2S2.

Lattice parameters (Å, degrees): 7.511 7.511 3.489 90.00 90.00 90.00
Space group P4/mbm (No. 127)
Symmetry-distinct sites (fractional):
Sb 0.000 0.000 0.000 [2 per cell]
Au 0.132 0.368 0.000 [4 per cell]
S 0.180 0.680 0.500 [4 per cell]

Values from the calculation:
Energy above the most stable polymorph in this dataset, eV per atom: 0.000
E_form (uncorrected), eV/atom: 0.37

Number 1: DOS(E_F) 1.1516 states/eV per atom. Number 2: DOS(E_F) 0.4748 states/eV per atom. Number 3: DOS(E_F) 0.9849 states/eV per atom. Number 4: DOS(E_F) 0.5216 states/eV per atom. Number 5: DOS(E_F) 0.4893 states/eV per atom. Number 6: DOS(E_F) 0.5217 states/eV per atom. Number 7: DOS(E_F) 0.6674 states/eV per atom. Number 8: DOS(E_F) 1.0000 states/eV per atom. Number 9: DOS(E_F) 0.7822 states/eV per atom. Number 10: DOS(E_F) 0.3377 states/eV per atom. Number 11: DOS(E_F) 1.6035 states/eV per atom. Number 12: DOS(E_F) 0.5118 states/eV per atom.